GGA+U Ho3VO6, optimized geometry; ΔE to the lowest computed polymorph = 1.78 kcal/mol of atoms
1.0
-3.030 -1.905 -4.164
-3.334 -4.338 4.410
-4.100 5.694 0.379
O Ho V
12 6 2
direct
0.657 0.222 0.778 O
0.664 0.601 0.099 O
0.691 0.644 0.673 O
0.664 0.901 0.399 O
0.164 0.399 0.901 O
0.191 0.673 0.644 O
0.157 0.778 0.222 O
0.789 0.986 0.014 O
0.191 0.356 0.327 O
0.164 0.099 0.601 O
0.289 0.014 0.986 O
0.691 0.327 0.356 O
0.915 0.603 0.397 Ho
0.415 0.397 0.603 Ho
0.468 0.911 0.680 Ho
0.468 0.320 0.089 Ho
0.968 0.089 0.320 Ho
0.968 0.680 0.911 Ho
0.979 0.151 0.849 V
0.479 0.849 0.151 V